TeHWN2 | PBE | relaxed

Output
Energy relative to the lowest polymorph listed for this composition in meV per atom: 1121
Space group: No. 123
Total moment in μB per formula unit: 2.69

Lattice parameters (Å, degrees): 4.249 3.424 4.249 90.00 90.00 90.00
Site moments in Bohr magnetons follow the coordinates.
Sites, in units of the cell vectors:
Te 0.000 0.000 0.000  -0.02
W 0.500 0.500 0.500  2.31
H 0.000 0.500 0.000  0.00
N 0.500 0.000 0.000  -0.11
N 0.000 0.000 0.500  -0.07

***

CsSrCd2Pt | PBE | relaxed

Output
VASP energy in eV/cell: -11.77
Space group: No. 123
Total moment in μB per formula unit: 0.00

Lattice parameters (Å, degrees): 5.515 5.515 5.710 90.00 90.00 90.00
Sites, in units of the cell vectors:
Cs 0.500 0.500 0.500
Pt 0.000 0.000 0.000
Cd 0.500 0.000 0.000
Cd 0.000 0.500 0.000
Sr 0.000 0.000 0.500

***

Cs2Sr2PuO6 | PBE | relaxed

Output
VASP energy in eV/cell: -75.92
Space group: No. 12
Total moment in μB per formula unit: 2.00

Lattice parameters (Å, degrees): 6.276 6.276 7.276 98.30 98.30 118.88
Site moments in Bohr magnetons follow the coordinates.
Sites, in units of the cell vectors:
O 0.221 0.221 0.334  -0.07
O 0.953 0.667 0.340  -0.07
O 0.667 0.953 0.340  -0.07
O 0.779 0.779 0.666  -0.07
O 0.333 0.047 0.660  -0.07
O 0.047 0.333 0.660  -0.07
Cs 0.169 0.831 0.000  0.00
Cs 0.831 0.169 0.000  0.00
Sr 0.664 0.336 0.500  0.00
Sr 0.336 0.664 0.500  0.00
Pu 0.000 0.000 0.500  2.47

***

NaHI2O | PBE | relaxed

Output
Energy relative to the lowest polymorph listed for this composition in meV per atom: 142
Space group: No. 123
Total moment in μB per formula unit: 1.05

Lattice parameters (Å, degrees): 5.048 4.700 5.048 90.00 90.00 90.00
Site moments in Bohr magnetons follow the coordinates.
Sites, in units of the cell vectors:
O 0.000 0.000 0.000  0.01
H 0.500 0.500 0.500  0.36
Na 0.000 0.500 0.000  0.00
I 0.000 0.000 0.500  0.05
I 0.500 0.000 0.000  0.06

***

In6Hg4Sb | PBE | relaxed

Output
VASP energy in eV/cell: -42.00
Space group: No. 186
Total moment in μB per formula unit: 0.00

Lattice parameters (Å, degrees): 8.133 9.698 9.698 120.00 90.00 90.00
Sites, in units of the cell vectors:
In 0.557 0.539 0.077
In 0.057 0.461 0.923
In 0.035 0.813 0.187
In 0.557 0.923 0.461
In 0.535 0.626 0.813
In 0.535 0.187 0.813
In 0.035 0.374 0.187
In 0.057 0.461 0.539
In 0.035 0.813 0.626
In 0.557 0.539 0.461
In 0.535 0.187 0.374
In 0.057 0.077 0.539
Hg 0.872 0.116 0.884
Hg 0.372 0.884 0.768
Hg 0.872 0.768 0.884
Hg 0.372 0.884 0.116
Hg 0.316 0.333 0.667
Hg 0.372 0.232 0.116
Hg 0.872 0.116 0.232
Hg 0.816 0.667 0.333
Sb 0.285 0.667 0.333
Sb 0.785 0.333 0.667

***

Hf2GeSb | PBE | relaxed

Output
Energy relative to the lowest polymorph listed for this composition in meV per atom: 0
Space group: No. 160
Total moment in μB per formula unit: 0.00

Lattice parameters (Å, degrees): 3.904 3.904 7.114 74.07 74.07 60.00
Sites, in units of the cell vectors:
Hf 0.260 0.260 0.220
Hf 0.072 0.072 0.783
Ge 0.669 0.669 0.994
Sb 0.499 0.499 0.502

***

GdMgIrAu | PBE | relaxed

Output
VASP energy in eV/cell: -30.13
Space group: No. 216
Total moment in μB per formula unit: 7.09

Lattice parameters (Å, degrees): 4.820 4.820 4.820 60.00 60.00 60.00
Site moments in Bohr magnetons follow the coordinates.
Sites, in units of the cell vectors:
Ir 0.500 0.500 0.500  -0.03
Mg 0.250 0.250 0.250  0.00
Gd 0.750 0.750 0.750  7.00
Au 0.000 0.000 0.000  0.00

***

Ta2MnBiH | PBE | relaxed

Output
VASP energy in eV/cell: -37.45
Space group: No. 123
Total moment in μB per formula unit: 0.00

Lattice parameters (Å, degrees): 3.972 4.814 3.972 90.00 90.00 90.00
Sites, in units of the cell vectors:
Mn 0.500 0.500 0.500
H 0.000 0.000 0.000
Ta 0.000 0.000 0.500
Ta 0.500 0.000 0.000
Bi 0.000 0.500 0.000

***

K2ZrPb | PBE | relaxed

Output
Energy relative to the lowest polymorph listed for this composition in meV per atom: 89
Space group: No. 35
Total moment in μB per formula unit: 0.00

Lattice parameters (Å, degrees): 3.491 3.491 12.111 90.00 90.00 91.03
Sites, in units of the cell vectors:
K 0.000 0.000 0.961
K 0.500 0.500 0.309
Pb 0.000 0.000 0.531
Zr 0.500 0.500 0.698

***

Ta3Al3B | PBE | relaxed

Output
VASP energy in eV/cell: -223.86
Space group: No. 227
Total moment in μB per formula unit: 0.00

Lattice parameters (Å, degrees): 8.445 8.445 8.445 60.00 60.00 60.00
Sites, in units of the cell vectors:
Ta 0.061 0.439 0.439
Ta 0.811 0.189 0.811
Ta 0.439 0.061 0.061
Ta 0.061 0.439 0.061
Ta 0.439 0.439 0.061
Ta 0.189 0.811 0.811
Ta 0.811 0.811 0.189
Ta 0.061 0.061 0.439
Ta 0.439 0.061 0.439
Ta 0.189 0.189 0.811
Ta 0.811 0.189 0.189
Ta 0.189 0.811 0.189
Al 0.412 0.412 0.412
Al 0.764 0.412 0.412
Al 0.625 0.625 0.625
Al 0.412 0.764 0.412
Al 0.412 0.412 0.764
Al 0.625 0.625 0.125
Al 0.838 0.838 0.838
Al 0.486 0.838 0.838
Al 0.625 0.125 0.625
Al 0.125 0.625 0.625
Al 0.838 0.838 0.486
Al 0.838 0.486 0.838
B 0.625 0.125 0.125
B 0.125 0.125 0.625
B 0.125 0.125 0.125
B 0.125 0.625 0.125

***

ScTlVBr6 | PBE | relaxed

Output
VASP energy in eV/cell: -77.65
Space group: No. 163
Total moment in μB per formula unit: 3.00

Lattice parameters (Å, degrees): 6.841 6.841 15.012 90.00 90.00 120.00
Site moments in Bohr magnetons follow the coordinates.
Sites, in units of the cell vectors:
Br 0.631 0.996 0.352  -0.01
Br 0.369 0.004 0.648  -0.01
Br 0.365 0.369 0.352  -0.01
Br 0.004 0.635 0.352  -0.01
Br 0.004 0.369 0.148  -0.01
Br 0.369 0.365 0.852  -0.01
Br 0.631 0.635 0.148  -0.01
Br 0.996 0.631 0.852  -0.01
Br 0.365 0.996 0.148  -0.01
Br 0.635 0.631 0.648  -0.01
Br 0.635 0.004 0.852  -0.01
Br 0.996 0.365 0.648  -0.01
Sc 0.667 0.333 0.250  0.06
Sc 0.333 0.667 0.750  0.06
V 0.667 0.333 0.750  2.56
V 0.333 0.667 0.250  2.56
Tl 0.000 0.000 0.500  0.01
Tl 0.000 0.000 0.000  0.01

***

MgFeRe | PBE | relaxed

Output
Energy relative to the lowest polymorph listed for this composition in meV per atom: 118
Space group: No. 156
Total moment in μB per formula unit: 1.89

Lattice parameters (Å, degrees): 4.354 4.354 2.629 90.00 90.00 120.00
Site moments in Bohr magnetons follow the coordinates.
Sites, in units of the cell vectors:
Fe 0.000 0.000 0.950  1.97
Mg 0.667 0.333 0.309  -0.01
Re 0.333 0.667 0.741  -0.03

***

- Which value of total moment does entry 12 give?
  1.89 μB per formula unit

***

What did the second record say?
CsSrCd2Pt | PBE | relaxed

Output
VASP energy in eV/cell: -11.77
Space group: No. 123
Total moment in μB per formula unit: 0.00

Lattice parameters (Å, degrees): 5.515 5.515 5.710 90.00 90.00 90.00
Sites, in units of the cell vectors:
Cs 0.500 0.500 0.500
Pt 0.000 0.000 0.000
Cd 0.500 0.000 0.000
Cd 0.000 0.500 0.000
Sr 0.000 0.000 0.500